Density functional theory data (PBE-GGA) for a relaxed CeSi3Tc4 crystal.

abc: 4.1183 4.1183 7.8939
angles: 90.00 90.00 90.00
Last column: nearest neighbours and their distance in Å.
Fractional coordinates of all 8 atoms:
Si1 0.5000 0.5000 0.3428  4 Tc 2.45, 1 Si 2.48
Si2 0.0000 0.0000 0.0000  8 Tc 2.47
Tc1 0.5000 0.0000 0.8263  4 Si 2.45-2.47, 1 Tc 2.74
Tc2 0.0000 0.5000 0.8263  4 Si 2.45-2.47, 1 Tc 2.74
Ce1 0.0000 0.0000 0.5000  8 Si 3.17, 8 Tc 3.30
Tc3 0.5000 0.0000 0.1737  4 Si 2.45-2.47, 1 Tc 2.74
Tc4 0.0000 0.5000 0.1737  4 Si 2.45-2.47, 1 Tc 2.74
Si3 0.5000 0.5000 0.6572  4 Tc 2.45, 1 Si 2.48

Summary:
Symmetry: P4/mmm (123)
Uncorrected energy, eV per cell: -66.41
Formation energy (no corrections), eV per atom: -0.3423


Density functional theory data (PBE-GGA) for a relaxed Ce2Si2Tc crystal.

abc: 4.3189 5.6943 9.1926
angles: 81.82 76.41 67.71
Last column: nearest neighbours and their distance in Å.
Fractional coordinates of all 10 atoms:
Si1 0.6174 0.8829 0.8824  1 Si 2.50, 1 Tc 2.51
Si2 0.0844 0.2725 0.5587  3 Tc 2.45-2.47, 1 Si 2.56
Si3 0.3826 0.1171 0.1176  1 Si 2.50, 1 Tc 2.51
Ce1 0.6760 0.3395 0.3085  7 Si 3.03-3.37, 4 Tc 3.03-3.21, 2 Ce 3.35
Ce2 0.3240 0.6605 0.6915  7 Si 3.03-3.37, 4 Tc 3.03-3.21, 2 Ce 3.35
Ce3 0.0881 0.7122 0.1115  6 Si 2.95-3.13
Si4 0.9156 0.7275 0.4413  3 Tc 2.45-2.47, 1 Si 2.56
Ce4 0.9119 0.2878 0.8885  6 Si 2.95-3.13
Tc1 0.3448 0.9287 0.3818  4 Si 2.45-2.51
Tc2 0.6552 0.0713 0.6182  4 Si 2.45-2.51

Summary:
Symmetry: C2/m (12)
Uncorrected energy, eV per cell: -72.47
Formation energy (no corrections), eV per atom: -0.6313


Density functional theory data (PBE-GGA) for a relaxed Ce8Si2Tc3 crystal.

abc: 4.3080 10.3377 8.7923
angles: 126.01 95.06 90.00
Last column: nearest neighbours and their distance in Å.
Fractional coordinates of all 13 atoms:
Ce1 0.0867 0.4089 0.8178  3 Ce 2.77-3.04, 2 Si 2.95-2.96, 2 Tc 3.05
Ce2 0.4294 0.6183 0.7397  2 Tc 2.76-2.91, 1 Si 3.02, 1 Ce 3.04
Ce3 0.5706 0.8786 0.2603  2 Tc 2.76-2.91, 1 Si 3.02, 1 Ce 3.04
Ce4 0.5706 0.3817 0.2603  2 Tc 2.76-2.91, 1 Si 3.02, 1 Ce 3.04
Ce5 0.0044 0.8749 0.7497  1 Tc 2.63, 1 Si 2.90
Ce6 0.9956 0.1251 0.2503  1 Tc 2.63, 1 Si 2.90
Si1 0.5347 0.2658 0.5316  6 Ce 2.90-3.02
Tc1 0.0000 0.2375 0.0000  8 Ce 2.76-3.05
Ce7 0.9133 0.5911 0.1822  3 Ce 2.77-3.04, 2 Si 2.95-2.96, 2 Tc 3.05
Ce8 0.4294 0.1214 0.7397  2 Tc 2.76-2.91, 1 Si 3.02, 1 Ce 3.04
Tc2 0.5000 0.0000 0.0000  2 Ce 2.63
Tc3 0.0000 0.7625 0.0000  8 Ce 2.76-3.05
Si2 0.4653 0.7342 0.4684  6 Ce 2.90-3.02

Summary:
Symmetry: C2/m (12)
Uncorrected energy, eV per cell: -91.51
Formation energy (no corrections), eV per atom: -0.1609


Density functional theory data (PBE-GGA) for a relaxed CeSi2Tc4 crystal.

abc: 4.0923 4.1486 7.1941
angles: 106.76 90.00 90.00
Last column: nearest neighbours and their distance in Å.
Fractional coordinates of all 7 atoms:
Si1 0.5000 0.5887 0.1774  1 Si 2.44, 4 Tc 2.49-2.52
Tc1 0.5000 0.8116 0.6233  2 Si 2.49, 4 Tc 2.60-2.68
Tc2 0.0000 0.3046 0.6091  2 Si 2.52, 4 Tc 2.56-2.60
Si2 0.5000 0.4113 0.8226  1 Si 2.44, 4 Tc 2.49-2.52
Tc3 0.0000 0.6954 0.3909  2 Si 2.52, 4 Tc 2.56-2.60
Ce1 0.0000 0.0000 0.0000  8 Si 3.16, 8 Tc 3.30-3.40
Tc4 0.5000 0.1884 0.3767  2 Si 2.49, 4 Tc 2.60-2.68

Summary:
Symmetry: Cmmm (65)
Uncorrected energy, eV per cell: -61.96
Formation energy (no corrections), eV per atom: -0.5314


Density functional theory data (PBE-GGA) for a relaxed CeSiTc2 crystal.

abc: 4.5343 4.5343 4.5343
angles: 60.00 60.00 60.00
Last column: nearest neighbours and their distance in Å.
Fractional coordinates of all 4 atoms:
Si1 0.5000 0.5000 0.5000  8 Tc 2.78
Tc1 0.7500 0.7500 0.7500  4 Ce 2.78, 4 Si 2.78
Tc2 0.2500 0.2500 0.2500  4 Ce 2.78, 4 Si 2.78
Ce1 0.0000 0.0000 0.0000  8 Tc 2.78

Summary:
Symmetry: Fm-3m (225)
Uncorrected energy, eV per cell: -32.77
Formation energy (no corrections), eV per atom: -0.1705


Density functional theory data (PBE-GGA) for a relaxed Ce3Si4Tc7 crystal.

abc: 4.2738 7.9063 7.7877
angles: 77.69 74.07 74.32
Last column: nearest neighbours and their distance in Å.
Fractional coordinates of all 14 atoms:
Tc1 0.3215 0.8376 0.5193  4 Si 2.52-2.57, 1 Tc 2.59
Tc2 0.0000 0.0000 0.0000  2 Si 2.56
Si1 0.3273 0.5709 0.7746  5 Tc 2.49-2.64
Ce1 0.6745 0.8414 0.8096  7 Tc 2.86-3.20, 4 Si 3.01-3.09
Tc3 0.8559 0.3889 0.8992  3 Si 2.51-2.64, 2 Tc 2.56
Ce2 0.0000 0.5000 0.5000  6 Si 2.97-3.07, 2 Tc 2.98
Ce3 0.3255 0.1586 0.1904  7 Tc 2.86-3.20, 4 Si 3.01-3.09
Si2 0.1098 0.1193 0.6611  6 Tc 2.52-2.62
Si3 0.8902 0.8807 0.3389  6 Tc 2.52-2.62
Tc4 0.1441 0.6111 0.1008  3 Si 2.51-2.64, 2 Tc 2.56
Tc5 0.6785 0.1624 0.4807  4 Si 2.52-2.57, 1 Tc 2.59
Tc6 0.5230 0.7591 0.1949  3 Si 2.49-2.62, 3 Tc 2.56-2.59
Si4 0.6727 0.4291 0.2254  5 Tc 2.49-2.64
Tc7 0.4770 0.2409 0.8051  3 Si 2.49-2.62, 3 Tc 2.56-2.59

Summary:
Symmetry: C2/m (12)
Uncorrected energy, eV per cell: -118.21
Formation energy (no corrections), eV per atom: -0.4394


Density functional theory data (PBE-GGA) for a relaxed Ce3Si2Tc crystal.

abc: 3.4531 4.6582 8.5739
angles: 105.82 101.62 90.00
Last column: nearest neighbours and their distance in Å.
Fractional coordinates of all 6 atoms:
Ce1 0.5000 0.5000 0.0000  4 Tc 2.90, 4 Si 3.05
Tc1 0.0000 0.0000 0.0000  4 Si 2.62, 4 Ce 2.90
Si1 0.3777 0.8771 0.7553  2 Tc 2.62
Ce2 0.8195 0.3190 0.6390  5 Si 3.05-3.18, 2 Ce 3.39
Si2 0.6223 0.1229 0.2447  2 Tc 2.62
Ce3 0.1805 0.6810 0.3610  5 Si 3.05-3.18, 2 Ce 3.39

Summary:
Symmetry: C2/m (12)
Uncorrected energy, eV per cell: -42.12
Formation energy (no corrections), eV per atom: -0.5179


Density functional theory data (PBE-GGA) for a relaxed Ce6SiTc2 crystal.

abc: 8.2837 8.2837 8.2837
angles: 97.78 116.71 114.53
Last column: nearest neighbours and their distance in Å.
Fractional coordinates of all 18 atoms:
Ce1 0.8327 0.7558 0.5885  3 Ce 2.91-3.22, 2 Tc 2.98-3.17, 2 Si 3.03-3.14
Tc1 0.5000 0.6374 0.1374  6 Ce 2.79-2.89, 1 Tc 2.99
Si1 0.0000 0.0000 0.0000  2 Tc 2.79, 8 Ce 3.03-3.08
Ce2 0.1673 0.2442 0.4115  3 Ce 2.91-3.22, 2 Tc 2.98-3.17, 2 Si 3.03-3.14
Ce3 0.6982 0.3636 0.6654  3 Tc 2.79-2.97
Ce4 0.3018 0.9672 0.6654  3 Tc 2.79-2.97
Ce5 0.5210 0.7075 0.8135  3 Tc 2.87-2.89, 1 Si 3.08
Ce6 0.8327 0.2442 0.0769  3 Ce 2.91-3.22, 2 Tc 2.98-3.17, 2 Si 3.03-3.14
Tc2 0.6794 0.0000 0.6794  1 Si 2.79, 8 Ce 2.87-2.98, 1 Tc 3.12
Tc3 0.3206 0.0000 0.3206  1 Si 2.79, 8 Ce 2.87-2.98, 1 Tc 3.12
Si2 0.0000 0.5000 0.5000  12 Ce 3.14-3.30
Ce7 0.4790 0.2925 0.1865  3 Tc 2.87-2.89, 1 Si 3.08
Ce8 0.6982 0.0328 0.3346  3 Tc 2.79-2.97
Ce9 0.1673 0.7558 0.9231  3 Ce 2.91-3.22, 2 Tc 2.98-3.17, 2 Si 3.03-3.14
Ce10 0.8940 0.7075 0.1865  3 Tc 2.87-2.89, 1 Si 3.08
Tc4 0.5000 0.3626 0.8626  6 Ce 2.79-2.89, 1 Tc 2.99
Ce11 0.1060 0.2925 0.8135  3 Tc 2.87-2.89, 1 Si 3.08
Ce12 0.3018 0.6364 0.3346  3 Tc 2.79-2.97

Summary:
Symmetry: Immm (71)
Uncorrected energy, eV per cell: -126.91
Formation energy (no corrections), eV per atom: -0.1888


Density functional theory data (PBE-GGA) for a relaxed Ce3Si5Tc6 crystal.

abc: 4.1747 10.0036 12.1348
angles: 90.00 90.00 90.00
Last column: nearest neighbours and their distance in Å.
Fractional coordinates of all 28 atoms:
Tc1 0.5000 0.4104 0.1907  4 Si 2.40-2.49, 1 Tc 2.65
Si1 0.5000 0.4830 0.6208  5 Tc 2.40-2.56
Tc2 0.5000 0.9817 0.6886  4 Si 2.51-2.58, 2 Tc 2.59
Si2 0.5000 0.4830 0.3792  5 Tc 2.40-2.56
Tc3 0.0000 0.5896 0.3093  4 Si 2.40-2.49, 1 Tc 2.65
Tc4 0.0000 0.5896 0.6907  4 Si 2.40-2.49, 1 Tc 2.65
Si3 0.0000 0.8325 0.6709  5 Tc 2.44-2.58
Si4 0.0000 0.9166 0.0000  4 Tc 2.40-2.51
Ce1 0.0000 0.2533 0.3419  2 Tc 2.82-3.00, 4 Si 3.07-3.14
Ce2 0.0000 0.2533 0.6581  2 Tc 2.82-3.00, 4 Si 3.07-3.14
Tc5 0.0000 0.4605 0.5000  4 Si 2.56, 2 Tc 2.65, 2 Ce 2.82
Tc6 0.0000 0.9646 0.5000  4 Si 2.40-2.46
Tc7 0.5000 0.0354 0.0000  4 Si 2.40-2.46
Tc8 0.0000 0.0183 0.1886  4 Si 2.51-2.58, 2 Tc 2.59
Ce3 0.5000 0.7467 0.1581  2 Tc 2.82-3.00, 4 Si 3.07-3.14
Ce4 0.5000 0.7483 0.5000  4 Tc 3.01-3.27, 7 Si 3.03-3.35
Si5 0.5000 0.1675 0.8291  5 Tc 2.44-2.58
Tc9 0.5000 0.5395 0.0000  4 Si 2.56, 2 Tc 2.65, 2 Ce 2.82
Tc10 0.5000 0.9817 0.3114  4 Si 2.51-2.58, 2 Tc 2.59
Si6 0.0000 0.5170 0.8792  5 Tc 2.40-2.56
Ce5 0.0000 0.2517 0.0000  4 Tc 3.01-3.27, 7 Si 3.03-3.35
Tc11 0.0000 0.0183 0.8114  4 Si 2.51-2.58, 2 Tc 2.59
Ce6 0.5000 0.7467 0.8419  2 Tc 2.82-3.00, 4 Si 3.07-3.14
Si7 0.5000 0.0834 0.5000  4 Tc 2.40-2.51
Tc12 0.5000 0.4104 0.8093  4 Si 2.40-2.49, 1 Tc 2.65
Si8 0.5000 0.1675 0.1709  5 Tc 2.44-2.58
Si9 0.0000 0.5170 0.1208  5 Tc 2.40-2.56
Si10 0.0000 0.8325 0.3291  5 Tc 2.44-2.58

Summary:
Symmetry: Pmmn (59)
Uncorrected energy, eV per cell: -227.45
Formation energy (no corrections), eV per atom: -0.4724


Density functional theory data (PBE-GGA) for a relaxed Ce4SiTc crystal.

abc: 5.9463 7.5277 7.5277
angles: 112.78 103.32 103.32
Last column: nearest neighbours and their distance in Å.
Fractional coordinates of all 12 atoms:
Tc1 0.7500 0.0033 0.9967  8 Ce 2.91-3.02, 2 Tc 2.97
Ce1 0.8099 0.6113 0.7869  2 Tc 2.91-2.97, 2 Si 2.99-3.06, 2 Ce 3.05-3.09
Ce2 0.6901 0.2131 0.3887  2 Tc 2.91-2.97, 2 Si 2.99-3.06, 2 Ce 3.05-3.09
Tc2 0.2500 0.9967 0.0033  8 Ce 2.91-3.02, 2 Tc 2.97
Ce3 0.1901 0.3887 0.2131  2 Tc 2.91-2.97, 2 Si 2.99-3.06, 2 Ce 3.05-3.09
Ce4 0.4180 0.6844 0.0645  2 Tc 2.91-3.02, 2 Si 3.00-3.03, 2 Ce 3.03-3.05
Ce5 0.0820 0.9355 0.3156  2 Tc 2.91-3.02, 2 Si 3.00-3.03, 2 Ce 3.03-3.05
Si1 0.7500 0.6165 0.3835  8 Ce 2.99-3.06
Ce6 0.5820 0.3156 0.9355  2 Tc 2.91-3.02, 2 Si 3.00-3.03, 2 Ce 3.03-3.05
Ce7 0.3099 0.7869 0.6113  2 Tc 2.91-2.97, 2 Si 2.99-3.06, 2 Ce 3.05-3.09
Ce8 0.9180 0.0645 0.6844  2 Tc 2.91-3.02, 2 Si 3.00-3.03, 2 Ce 3.03-3.05
Si2 0.2500 0.3835 0.6165  8 Ce 2.99-3.06

Summary:
Symmetry: C2/c (15)
Uncorrected energy, eV per cell: -82.53
Formation energy (no corrections), eV per atom: -0.2905